1.
This record from Alexandria describes Ba2FeTe after structural relaxation. The functional is PBEsol.

```
Ba2FeTe
1.0
4.663 0.000 0.000
2.331 4.038 0.000
2.331 1.346 8.115
Te Fe Ba
1 1 2
Cartesian
4.663 2.692 4.058 Te
0.000 0.000 0.000 Fe
2.331 1.346 1.964 Ba
6.994 4.038 6.151 Ba
```

Computed properties:
Formation energy from raw total energies: -0.134 eV per atom
E_tot: -4.331 eV/atom
Theoretical density: 4.978 Mg/m³
Total magnetic moment: 0.57 μB per atom
Symmetry: R-3m, No. 166

2.
This record from Alexandria describes Ba2FeTe after structural relaxation. The functional is PBEsol.

```
Ba2FeTe
1.0
-4.002 0.923 0.564
-1.055 -5.380 1.324
1.027 1.135 5.429
Ba Te Fe
2 1 1
Cartesian
0.513 0.567 2.714 Ba
-0.527 -2.690 0.662 Ba
-2.001 0.462 0.282 Te
-2.015 -1.661 3.658 Fe
```

Computed properties:
Formation energy from raw total energies: -0.207 eV per atom
E_tot: -4.404 eV/atom
Theoretical density: 5.768 Mg/m³
Total magnetic moment: 0.59 μB per atom
Symmetry: P4/mmm, No. 123